A plane-wave DFT calculation with PBE was carried out for Rb3Tl3Pd2 after structural relaxation.

a b c (Å): 6.913 9.364 16.956
angles (deg): 90.00 90.00 90.00
Atoms (fractional coordinates):
Tl  0.116  0.167  0.961
Tl  0.884  0.833  0.039
Tl  0.539  0.353  0.750
Tl  0.384  0.667  0.539
Tl  0.616  0.333  0.461
Tl  0.961  0.853  0.750
Tl  0.461  0.647  0.250
Tl  0.039  0.147  0.250
Tl  0.616  0.333  0.039
Tl  0.884  0.833  0.461
Tl  0.384  0.667  0.961
Tl  0.116  0.167  0.539
Rb  0.894  0.540  0.890
Rb  0.074  0.218  0.750
Rb  0.574  0.282  0.250
Rb  0.106  0.460  0.110
Rb  0.426  0.718  0.750
Rb  0.394  0.960  0.390
Rb  0.106  0.460  0.390
Rb  0.606  0.040  0.610
Rb  0.926  0.782  0.250
Rb  0.394  0.960  0.110
Rb  0.894  0.540  0.610
Rb  0.606  0.040  0.890
Pd  0.385  0.379  0.596
Pd  0.885  0.121  0.096
Pd  0.115  0.879  0.904
Pd  0.115  0.879  0.596
Pd  0.615  0.621  0.404
Pd  0.885  0.121  0.404
Pd  0.615  0.621  0.096
Pd  0.385  0.379  0.904

Output
- Space group: Pnma (62)
- Total DFT energy (no corrections): -2.6493 eV/atom
- Offset from the most stable computed form: 0.022 eV/atom
- Crystal system: orthorhombic